[1]
A plane-wave DFT calculation with PBE was carried out for a geometry-optimized Li2YTiS4 structure.

Output
space-group type	No. 10
total moment	1.0	μB per cell

Lattice parameters (Å, degrees): 3.708 6.457 6.511 109.28 90.00 90.00
Fractional positions:
Ti 0.500 0.500 0.000
S 0.500 0.730 0.751
S 0.000 0.272 0.762
S 0.500 0.270 0.249
S 0.000 0.728 0.238
Y 0.000 0.000 0.000
Li 0.500 0.000 0.500
Li 0.000 0.500 0.500

[2]
A plane-wave DFT calculation with PBE was carried out for a geometry-optimized AlCrSbTe2 structure.

Output
space-group type	No. 123
total moment	0.4	μB per cell

Lattice parameters (Å, degrees): 5.296 5.296 5.121 90.00 90.00 90.00
Fractional positions:
Cr 0.500 0.500 0.500
Te 0.000 0.500 0.000
Te 0.500 0.000 0.000
Sb 0.000 0.000 0.500
Al 0.000 0.000 0.000

[3]
A plane-wave DFT calculation with PBE was carried out for a geometry-optimized CdReP2 structure.

Output
space-group type	No. 6
E_form	266	meV/atom
total moment	0.0	μB per cell

Lattice parameters (Å, degrees): 4.585 3.348 4.661 68.85 90.00 90.00
Fractional positions:
P 0.500 0.433 0.261
P 0.000 0.033 0.059
Re 0.000 0.326 0.472
Cd 0.500 0.708 0.707

[4]
A plane-wave DFT calculation with PBE was carried out for a geometry-optimized LaPmGd4 structure.

Output
space-group type	No. 216
E_form	247	meV/atom
total moment	33.0	μB per cell

Lattice parameters (Å, degrees): 6.699 6.699 6.699 60.00 60.00 60.00
Fractional positions:
Gd 0.625 0.126 0.625
Gd 0.625 0.625 0.625
Gd 0.126 0.625 0.625
Gd 0.625 0.625 0.126
Pm 0.250 0.250 0.250
La 0.000 0.000 0.000

[5]
A plane-wave DFT calculation with PBE was carried out for a geometry-optimized NdP3O9 structure.

Output
space-group type	No. 20
total moment	0.0	μB per cell

Lattice parameters (Å, degrees): 7.118 7.118 7.400 90.00 90.00 105.40
Fractional positions:
P 0.667 0.315 0.546
P 0.251 0.251 0.000
P 0.333 0.685 0.046
P 0.685 0.333 0.954
P 0.315 0.667 0.454
P 0.749 0.749 0.500
O 0.781 0.527 0.036
O 0.527 0.781 0.964
O 0.473 0.219 0.464
O 0.470 0.252 0.042
O 0.783 0.173 0.965
O 0.865 0.829 0.668
O 0.173 0.783 0.035
O 0.748 0.530 0.458
O 0.829 0.865 0.332
O 0.628 0.372 0.750
O 0.252 0.470 0.958
O 0.217 0.827 0.465
O 0.530 0.748 0.542
O 0.219 0.473 0.536
O 0.827 0.217 0.535
O 0.135 0.171 0.168
O 0.171 0.135 0.832
O 0.372 0.628 0.250
Nd 0.874 0.874 0.000
Nd 0.126 0.126 0.500

[6]
A plane-wave DFT calculation with PBE was carried out for a geometry-optimized AuCl2 structure.

Output
space-group type	No. 63
total moment	0.0	μB per cell

Lattice parameters (Å, degrees): 11.134 11.134 3.487 90.00 90.00 159.49
Fractional positions:
Cl 0.423 0.577 0.750
Cl 0.250 0.750 0.250
Cl 0.577 0.423 0.250
Cl 0.750 0.250 0.750
Au 0.947 0.053 0.250
Au 0.053 0.947 0.750

[7]
A plane-wave DFT calculation with PBE was carried out for a geometry-optimized BaIr3F structure.

Output
space-group type	No. 221
total moment	3.9	μB per cell

Lattice parameters (Å, degrees): 5.334 5.334 5.334 90.00 90.00 90.00
Fractional positions:
F 0.500 0.500 0.500
Ba 0.000 0.000 0.000
Ir 0.500 0.000 0.000
Ir 0.000 0.500 0.000
Ir 0.000 0.000 0.500

[8]
A plane-wave DFT calculation with PBE was carried out for a geometry-optimized NaNiSbPd structure.

Output
space-group type	No. 216
total moment	0.0	μB per cell

Lattice parameters (Å, degrees): 4.557 4.557 4.557 60.00 60.00 60.00
Fractional positions:
Ni 0.500 0.500 0.500
Pd 0.000 0.000 0.000
Na 0.250 0.250 0.250
Sb 0.750 0.750 0.750

[9]
A plane-wave DFT calculation with PBE was carried out for a geometry-optimized Li3Pr2ThTe6 structure.

Output
space-group type	No. 12
total moment	0.0	μB per cell

Lattice parameters (Å, degrees): 7.675 7.675 7.592 99.71 99.71 119.99
Fractional positions:
Li 0.168 0.832 0.500
Li 0.500 0.500 0.500
Li 0.832 0.168 0.500
Te 0.911 0.583 0.733
Te 0.417 0.089 0.267
Te 0.761 0.761 0.266
Te 0.239 0.239 0.734
Te 0.583 0.911 0.733
Te 0.089 0.417 0.267
Th 0.000 0.000 0.000
Pr 0.333 0.667 0.000
Pr 0.667 0.333 0.000

[10]
A plane-wave DFT calculation with PBE was carried out for a geometry-optimized Li10TlCd6 structure.

Output
space-group type	No. 162
E_form	-192	meV/atom
total moment	0.0	μB per cell

Lattice parameters (Å, degrees): 5.766 8.157 8.157 120.00 90.00 90.00
Fractional positions:
Li 0.828 0.706 0.706
Li 0.828 0.000 0.294
Li 0.172 0.294 0.294
Li 0.172 0.000 0.706
Li 0.828 0.294 0.000
Li 0.500 0.667 0.333
Li 0.500 0.333 0.667
Li 0.000 0.667 0.333
Li 0.000 0.333 0.667
Li 0.172 0.706 0.000
Tl 0.500 0.000 0.000
Cd 0.317 0.633 0.633
Cd 0.317 0.367 0.000
Cd 0.683 0.000 0.633
Cd 0.317 0.000 0.367
Cd 0.683 0.367 0.367
Cd 0.683 0.633 0.000

[11]
A plane-wave DFT calculation with PBE was carried out for a geometry-optimized Tb3Dy6Sc2 structure.

Output
space-group type	No. 166
E_form	36	meV/atom
total moment	0.0	μB per cell

Lattice parameters (Å, degrees): 3.506 3.506 31.272 86.79 86.79 60.00
Fractional positions:
Dy 0.182 0.182 0.453
Dy 0.093 0.093 0.720
Dy 0.818 0.818 0.547
Dy 0.907 0.907 0.280
Dy 0.364 0.364 0.907
Dy 0.636 0.636 0.093
Sc 0.455 0.455 0.634
Sc 0.545 0.545 0.366
Tb 0.729 0.729 0.814
Tb 0.000 0.000 0.000
Tb 0.271 0.271 0.186

[12]
A plane-wave DFT calculation with PBE was carried out for a geometry-optimized LiBeAs4 structure.

Output
space-group type	No. 216
E_form	414	meV/atom
total moment	0.0	μB per cell

Lattice parameters (Å, degrees): 5.510 5.510 5.510 60.00 60.00 60.00
Fractional positions:
Be 0.750 0.750 0.750
Li 0.000 0.000 0.000
As 0.871 0.376 0.376
As 0.376 0.376 0.871
As 0.376 0.376 0.376
As 0.376 0.871 0.376

Uncorrected energy
In order: -5.9109 -3.5933 -5.7802 -10.7528 -7.5512 -2.1286 -3.2975 -4.2507 -4.6953 -1.7795 -4.8882 -3.6256
Unit: eV/atom